ThReN4 | PBE | relaxed Values from VASP.

* E_form (uncorrected): -0.3796 eV per atom
* SG: Pmn2_1, No. 31
* crystal system: orthorhombic
* Fermi-level density of states: 0.53 states/eV/atom

Cell and atoms, written as Quantum ESPRESSO input:
```
&SYSTEM
  ibrav = 0, nat = 12, ntyp = 3
/
ATOMIC_SPECIES
Th 232.04 Th.upf
Re 186.21 Re.upf
N 14.01 N.upf
CELL_PARAMETERS angstrom
-3.4653 1.6250 -1.8306
1.0199 -2.9690 -4.5663
-4.1532 -5.7155 2.7886
ATOMIC_POSITIONS crystal
Th 0.9080 0.9082 0.0000
Th 0.4080 0.0918 0.5000
Re 0.4550 0.3837 0.0000
Re 0.9550 0.6163 0.5000
N 0.8644 0.8097 0.3093
N 0.3644 0.1903 0.8093
N 0.3820 0.6199 0.5000
N 0.3981 0.7158 0.0000
N 0.8981 0.2842 0.5000
N 0.8820 0.3801 0.0000
N 0.8644 0.8097 0.6907
N 0.3644 0.1903 0.1907
```